(1)
This record from Alexandria via LeMat-Bulk describes crystalline RbCaInN2 at its relaxed geometry. The functional is PBE.

The structure belongs to space group P4/mmm (No. 123); the cell edges are 4.897, 4.897 and 5.815 Å and the angles 90.00°, 90.00° and 90.00°. Symmetry generates all atoms from Rb at (0.000, 0.000, 0.000), Ca at (0.500, 0.500, 0.500), In at (0.500, 0.500, 0.000) and N at (0.000, 0.500, 0.500).

For the formation energy (no corrections), the calculation gives 5.52 eV per formula unit.

(2)
This record from Alexandria via LeMat-Bulk describes crystalline Ca2InReN at its relaxed geometry. The functional is PBE.

The structure belongs to space group P4/mmm (No. 123); the cell edges are 5.058, 5.058 and 3.919 Å and the angles 90.00°, 90.00° and 90.00°. Symmetry generates all atoms from Ca at (0.000, 0.500, 0.000), In at (0.000, 0.000, 0.500), Re at (0.500, 0.500, 0.500) and N at (0.500, 0.500, 0.000).

For the formation energy (no corrections), the calculation gives -1.84 eV per formula unit.

(3)
This record from Alexandria via LeMat-Bulk describes crystalline Ca2InReN4 at its relaxed geometry. The functional is PBE.

The structure belongs to space group Pmn2_1 (No. 31); the cell edges are 8.419, 6.111 and 5.385 Å and the angles 90.00°, 90.00° and 90.00°. Symmetry generates all atoms from Ca at (0.246, 0.195, 0.000), In at (0.000, 0.722, 0.997), Re at (0.000, 0.329, 0.534), N at (0.000, 0.361, 0.876), N at (0.000, 0.615, 0.417) and N at (0.181, 0.181, 0.445).

For the formation energy (no corrections), the calculation gives -4.73 eV per formula unit.

(4)
This record from Alexandria via LeMat-Bulk describes crystalline Ca2InRhN at its relaxed geometry. The functional is PBE.

The structure belongs to space group P4/mmm (No. 123); the cell edges are 5.090, 5.090 and 3.901 Å and the angles 90.00°, 90.00° and 90.00°. Symmetry generates all atoms from Ca at (0.000, 0.500, 0.000), In at (0.000, 0.000, 0.500), Rh at (0.500, 0.500, 0.500) and N at (0.500, 0.500, 0.000).

For the formation energy (no corrections), the calculation gives -2.66 eV per formula unit.

(5)
This record from Alexandria via LeMat-Bulk describes crystalline CaInS2N at its relaxed geometry. The functional is PBE.

The structure belongs to space group P4/mmm (No. 123); the cell edges are 5.372, 5.372 and 4.644 Å and the angles 90.00°, 90.00° and 90.00°. Symmetry generates all atoms from Ca at (0.000, 0.000, 0.000), In at (0.500, 0.500, 0.500), S at (0.000, 0.500, 0.000) and N at (0.000, 0.000, 0.500).

For the formation energy (no corrections), the calculation gives 2.22 eV per formula unit.

(6)
This record from Alexandria via LeMat-Bulk describes crystalline CaInSN2 at its relaxed geometry. The functional is PBE.

The structure belongs to space group P4/mmm (No. 123); the cell edges are 4.438, 4.438 and 9.025 Å and the angles 90.00°, 90.00° and 90.00°. Symmetry generates all atoms from Ca at (0.000, 0.000, 0.000), In at (0.000, 0.000, 0.500), S at (0.500, 0.500, 0.500) and N at (0.000, 0.500, 0.000).

For the formation energy (no corrections), the calculation gives 6.60 eV per formula unit.

(7)
This record from Alexandria via LeMat-Bulk describes crystalline CaInSN2 at its relaxed geometry. The functional is PBE.

The structure belongs to space group P4/mmm (No. 123); the cell edges are 4.298, 4.298 and 5.513 Å and the angles 90.00°, 90.00° and 90.00°. Symmetry generates all atoms from Ca at (0.000, 0.000, 0.000), In at (0.500, 0.500, 0.500), S at (0.500, 0.500, 0.000) and N at (0.000, 0.500, 0.500).

For the formation energy (no corrections), the calculation gives 2.38 eV per formula unit.

(8)
This record from Alexandria via LeMat-Bulk describes crystalline CaInS2N at its relaxed geometry. The functional is PBE.

The structure belongs to space group P4/mmm (No. 123); the cell edges are 5.153, 5.153 and 4.196 Å and the angles 90.00°, 90.00° and 90.00°. Symmetry generates all atoms from Ca at (0.000, 0.000, 0.000), In at (0.500, 0.500, 0.500), S at (0.000, 0.500, 0.500) and N at (0.500, 0.500, 0.000).

For the formation energy (no corrections), the calculation gives -0.48 eV per formula unit.

(9)
This record from Alexandria via LeMat-Bulk describes crystalline CaInSN2 at its relaxed geometry. The functional is PBE.

The structure belongs to space group P4/mmm (No. 123); the cell edges are 4.571, 4.571 and 5.545 Å and the angles 90.00°, 90.00° and 90.00°. Symmetry generates all atoms from Ca at (0.000, 0.000, 0.000), In at (0.500, 0.500, 0.500), S at (0.000, 0.000, 0.500) and N at (0.000, 0.500, 0.000).

For the formation energy (no corrections), the calculation gives 5.18 eV per formula unit.

(10)
This record from Alexandria via LeMat-Bulk describes crystalline Ca2InSbN at its relaxed geometry. The functional is PBE.

The structure belongs to space group P4/mmm (No. 123); the cell edges are 4.938, 4.938 and 4.656 Å and the angles 90.00°, 90.00° and 90.00°. Symmetry generates all atoms from Ca at (0.000, 0.500, 0.000), In at (0.000, 0.000, 0.500), Sb at (0.500, 0.500, 0.500) and N at (0.000, 0.000, 0.000).

For the formation energy (no corrections), the calculation gives -3.41 eV per formula unit.

(11)
This record from Alexandria via LeMat-Bulk describes crystalline Ca2ScInN at its relaxed geometry. The functional is PBE.

The structure belongs to space group P4/mmm (No. 123); the cell edges are 5.043, 5.043 and 4.331 Å and the angles 90.00°, 90.00° and 90.00°. Symmetry generates all atoms from Ca at (0.000, 0.500, 0.000), Sc at (0.000, 0.000, 0.500), In at (0.500, 0.500, 0.500) and N at (0.000, 0.000, 0.000).

For the formation energy (no corrections), the calculation gives -4.09 eV per formula unit.

(12)
This record from Alexandria via LeMat-Bulk describes crystalline CaSc2InN at its relaxed geometry. The functional is PBE.

The structure belongs to space group P4/mmm (No. 123); the cell edges are 4.521, 4.521 and 4.810 Å and the angles 90.00°, 90.00° and 90.00°. Symmetry generates all atoms from Ca at (0.000, 0.000, 0.000), Sc at (0.000, 0.500, 0.500), In at (0.500, 0.500, 0.000) and N at (0.000, 0.000, 0.500).

For the formation energy (no corrections), the calculation gives -4.68 eV per formula unit.

(13)
This record from Alexandria via LeMat-Bulk describes crystalline CaInSe2N at its relaxed geometry. The functional is PBE.

The structure belongs to space group P4/mmm (No. 123); the cell edges are 5.452, 5.452 and 4.258 Å and the angles 90.00°, 90.00° and 90.00°. Symmetry generates all atoms from Ca at (0.000, 0.000, 0.000), In at (0.500, 0.500, 0.500), Se at (0.000, 0.500, 0.500) and N at (0.500, 0.500, 0.000).

For the formation energy (no corrections), the calculation gives -0.30 eV per formula unit.

(14)
This record from Alexandria via LeMat-Bulk describes crystalline CaInSeN2 at its relaxed geometry. The functional is PBE.

The structure belongs to space group P4/mmm (No. 123); the cell edges are 4.592, 4.592 and 5.849 Å and the angles 90.00°, 90.00° and 90.00°. Symmetry generates all atoms from Ca at (0.000, 0.000, 0.000), In at (0.500, 0.500, 0.500), Se at (0.000, 0.000, 0.500) and N at (0.000, 0.500, 0.000).

For the formation energy (no corrections), the calculation gives 4.97 eV per formula unit.

(15)
This record from Alexandria via LeMat-Bulk describes crystalline CaInSeN2 at its relaxed geometry. The functional is PBE.

The structure belongs to space group P4/mmm (No. 123); the cell edges are 4.355, 4.355 and 5.878 Å and the angles 90.00°, 90.00° and 90.00°. Symmetry generates all atoms from Ca at (0.000, 0.000, 0.000), In at (0.500, 0.500, 0.500), Se at (0.500, 0.500, 0.000) and N at (0.000, 0.500, 0.500).

For the formation energy (no corrections), the calculation gives 2.59 eV per formula unit.

(16)
This record from Alexandria via LeMat-Bulk describes crystalline CaInSe2N at its relaxed geometry. The functional is PBE.

The structure belongs to space group P4/mmm (No. 123); the cell edges are 5.546, 5.546 and 4.382 Å and the angles 90.00°, 90.00° and 90.00°. Symmetry generates all atoms from Ca at (0.000, 0.000, 0.000), In at (0.500, 0.500, 0.500), Se at (0.000, 0.500, 0.000) and N at (0.000, 0.000, 0.500).

For the formation energy (no corrections), the calculation gives 2.57 eV per formula unit.

(17)
This record from Alexandria via LeMat-Bulk describes crystalline CaSm2InN at its relaxed geometry. The functional is PBE.

The structure belongs to space group P4/mmm (No. 123); the cell edges are 4.977, 4.977 and 4.893 Å and the angles 90.00°, 90.00° and 90.00°. Symmetry generates all atoms from Ca at (0.000, 0.000, 0.000), Sm at (0.000, 0.500, 0.500), In at (0.500, 0.500, 0.000) and N at (0.000, 0.000, 0.500).

For the formation energy (no corrections), the calculation gives -4.30 eV per formula unit.

(18)
This record from Alexandria via LeMat-Bulk describes crystalline Ca2InSnN at its relaxed geometry. The functional is PBE.

The structure belongs to space group P4/mmm (No. 123); the cell edges are 4.862, 4.862 and 4.822 Å and the angles 90.00°, 90.00° and 90.00°. Symmetry generates all atoms from Ca at (0.000, 0.500, 0.000), In at (0.000, 0.000, 0.500), Sn at (0.500, 0.500, 0.500) and N at (0.500, 0.500, 0.000).

For the formation energy (no corrections), the calculation gives -2.30 eV per formula unit.

(19)
This record from Alexandria via LeMat-Bulk describes crystalline Ca2InSnN at its relaxed geometry. The functional is PBE.

The structure belongs to space group P4/mmm (No. 123); the cell edges are 4.849, 4.849 and 4.741 Å and the angles 90.00°, 90.00° and 90.00°. Symmetry generates all atoms from Ca at (0.000, 0.500, 0.000), In at (0.000, 0.000, 0.500), Sn at (0.500, 0.500, 0.500) and N at (0.000, 0.000, 0.000).

For the formation energy (no corrections), the calculation gives -2.73 eV per formula unit.

(20)
This record from Alexandria via LeMat-Bulk describes crystalline Ca12InSn4N3 at its relaxed geometry. The functional is PBE.

The structure belongs to space group Im-3m (No. 229); the cell edges are 10.235, 10.235 and 10.235 Å and the angles 90.00°, 90.00° and 90.00°. Symmetry generates all atoms from Ca at (0.000, 0.000, 0.284), Ca at (0.000, 0.250, 0.500), In at (0.000, 0.000, 0.000), Sn at (0.250, 0.250, 0.250) and N at (0.000, 0.000, 0.500).

For the formation energy (no corrections), the calculation gives -13.05 eV per formula unit.

(21)
This record from Alexandria via LeMat-Bulk describes crystalline SrCa2InN at its relaxed geometry. The functional is PBE.

The structure belongs to space group P4/mmm (No. 123); the cell edges are 4.938, 4.938 and 5.386 Å and the angles 90.00°, 90.00° and 90.00°. Symmetry generates all atoms from Sr at (0.000, 0.000, 0.000), Ca at (0.000, 0.500, 0.500), In at (0.500, 0.500, 0.000) and N at (0.000, 0.000, 0.500).

For the formation energy (no corrections), the calculation gives -2.84 eV per formula unit.

(22)
This record from Alexandria via LeMat-Bulk describes crystalline CaTb2InN at its relaxed geometry. The functional is PBE.

The structure belongs to space group P4/mmm (No. 123); the cell edges are 4.868, 4.868 and 4.878 Å and the angles 90.00°, 90.00° and 90.00°. Symmetry generates all atoms from Ca at (0.000, 0.000, 0.000), Tb at (0.000, 0.500, 0.500), In at (0.500, 0.500, 0.000) and N at (0.000, 0.000, 0.500).

For the formation energy (no corrections), the calculation gives -4.54 eV per formula unit.

(23)
This record from Alexandria via LeMat-Bulk describes crystalline Ca2InTcN at its relaxed geometry. The functional is PBE.

The structure belongs to space group P4/mmm (No. 123); the cell edges are 5.046, 5.046 and 3.933 Å and the angles 90.00°, 90.00° and 90.00°. Symmetry generates all atoms from Ca at (0.000, 0.500, 0.000), In at (0.000, 0.000, 0.500), Tc at (0.500, 0.500, 0.500) and N at (0.500, 0.500, 0.000).

For the formation energy (no corrections), the calculation gives -2.18 eV per formula unit.

(24)
This record from Alexandria via LeMat-Bulk describes crystalline Ca2InTcN4 at its relaxed geometry. The functional is PBE.

The structure belongs to space group Pmn2_1 (No. 31); the cell edges are 8.322, 6.152 and 5.345 Å and the angles 90.00°, 90.00° and 90.00°. Symmetry generates all atoms from Ca at (0.247, 0.195, 0.000), In at (0.000, 0.712, 0.999), Tc at (0.000, 0.327, 0.536), N at (0.000, 0.359, 0.880), N at (0.000, 0.613, 0.424) and N at (0.183, 0.181, 0.449).

For the formation energy (no corrections), the calculation gives -3.93 eV per formula unit.

(25)
This record from Alexandria via LeMat-Bulk describes crystalline CaInTeN2 at its relaxed geometry. The functional is PBE.

The structure belongs to space group P4/mmm (No. 123); the cell edges are 4.644, 4.644 and 6.390 Å and the angles 90.00°, 90.00° and 90.00°. Symmetry generates all atoms from Ca at (0.000, 0.000, 0.000), In at (0.500, 0.500, 0.500), Te at (0.000, 0.000, 0.500) and N at (0.000, 0.500, 0.000).

For the formation energy (no corrections), the calculation gives 5.12 eV per formula unit.

(26)
This record from Alexandria via LeMat-Bulk describes crystalline CaInTeN2 at its relaxed geometry. The functional is PBE.

The structure belongs to space group P4/mmm (No. 123); the cell edges are 4.403, 4.403 and 6.029 Å and the angles 90.00°, 90.00° and 90.00°. Symmetry generates all atoms from Ca at (0.000, 0.000, 0.000), In at (0.500, 0.500, 0.500), Te at (0.500, 0.500, 0.000) and N at (0.000, 0.500, 0.500).

For the formation energy (no corrections), the calculation gives 3.39 eV per formula unit.

Quick rundown of electronic total energy, same order as above: -3.3685 -5.8711 -7.1527 -5.0158 -3.8206 -3.7826 -4.6283 -4.3594 -4.0672 -4.5197 -5.0980 -6.0808 -4.0660 -3.9805 -4.4568 -3.4931 -5.3609 -4.2731 -4.3598 -4.0398 -3.9172 -5.3733 -5.5226 -6.7927 -3.8821 -4.2287 eV/atom